Entry 1:
The following is a DFT calculation (meta-GGA SCAN) of a PBEsol-optimized structure of KTlMoRu2.

The structure in CIF format:
```
data_KTlMoRu2
_chemical_formula_sum 'K1 Tl1 Mo1 Ru2'
_space_group_name_H-M_alt 'P 1'
_space_group_IT_number 1
_space_group_name_Hall 'P 1'
_cell_length_a 5.051
_cell_length_b 5.051
_cell_length_c 5.244
_cell_angle_alpha 90.00
_cell_angle_beta 90.00
_cell_angle_gamma 90.00
loop_
_atom_site_label
_atom_site_type_symbol
_atom_site_fract_x
_atom_site_fract_y
_atom_site_fract_z
K1 K 0.000 0.000 0.000
Tl1 Tl 0.500 0.500 0.500
Mo1 Mo 0.500 0.500 0.000
Ru1 Ru 0.000 0.500 0.500
Ru2 Ru 0.500 0.000 0.500
```

Values from the calculation:
Space group: P4/mmm, No. 123
Formation energy from the elements, meV per atom: 2100
M_tot, μB per formula unit: 7.81
D(E_F), states/eV/f.u.: 4.24

=====

Entry 2:
The following is a DFT calculation (meta-GGA SCAN) of a PBEsol-optimized structure of KMo3S.

The structure in CIF format:
```
data_KMo3S
_chemical_formula_sum 'K1 Mo3 S1'
_space_group_name_H-M_alt 'P 1'
_space_group_IT_number 1
_space_group_name_Hall 'P 1'
_cell_length_a 4.534
_cell_length_b 4.534
_cell_length_c 4.534
_cell_angle_alpha 90.00
_cell_angle_beta 90.00
_cell_angle_gamma 90.00
loop_
_atom_site_label
_atom_site_type_symbol
_atom_site_fract_x
_atom_site_fract_y
_atom_site_fract_z
K1 K 0.000 0.000 0.000
Mo1 Mo 0.000 0.500 0.500
Mo2 Mo 0.500 0.000 0.500
Mo3 Mo 0.500 0.500 0.000
S1 S 0.500 0.500 0.500
```

Values from the calculation:
Space group: Pm-3m, No. 221
M_tot, μB per formula unit: 0.00
ΔE_f (raw), eV/atom: 1.163
D(E_F), states/eV/f.u.: 7.63

=====

Entry 3:
The following is a DFT calculation (meta-GGA SCAN) of a PBEsol-optimized structure of K2Mo9S11.

The structure in CIF format:
```
data_K2Mo9S11
_chemical_formula_sum 'K4 Mo18 S22'
_space_group_name_H-M_alt 'P 1'
_space_group_IT_number 1
_space_group_name_Hall 'P 1'
_cell_length_a 13.037
_cell_length_b 13.037
_cell_length_c 13.037
_cell_angle_alpha 41.26
_cell_angle_beta 41.26
_cell_angle_gamma 41.26
loop_
_atom_site_label
_atom_site_type_symbol
_atom_site_fract_x
_atom_site_fract_y
_atom_site_fract_z
K1 K 0.053 0.053 0.053
K2 K 0.447 0.447 0.447
K3 K 0.553 0.553 0.553
K4 K 0.947 0.947 0.947
Mo1 Mo 0.026 0.358 0.176
Mo2 Mo 0.081 0.250 0.419
Mo3 Mo 0.142 0.474 0.324
Mo4 Mo 0.176 0.026 0.358
Mo5 Mo 0.250 0.419 0.081
Mo6 Mo 0.324 0.142 0.474
Mo7 Mo 0.358 0.176 0.026
Mo8 Mo 0.419 0.081 0.250
Mo9 Mo 0.474 0.324 0.142
Mo10 Mo 0.526 0.676 0.858
Mo11 Mo 0.581 0.919 0.750
Mo12 Mo 0.642 0.824 0.974
Mo13 Mo 0.676 0.858 0.526
Mo14 Mo 0.750 0.581 0.919
Mo15 Mo 0.824 0.974 0.642
Mo16 Mo 0.858 0.526 0.676
Mo17 Mo 0.919 0.750 0.581
Mo18 Mo 0.974 0.642 0.824
S1 S 0.014 0.284 0.624
S2 S 0.057 0.443 0.750
S3 S 0.124 0.784 0.514
S4 S 0.136 0.136 0.136
S5 S 0.216 0.486 0.876
S6 S 0.250 0.943 0.557
S7 S 0.284 0.624 0.014
S8 S 0.364 0.364 0.364
S9 S 0.376 0.986 0.716
S10 S 0.443 0.750 0.057
S11 S 0.486 0.876 0.216
S12 S 0.514 0.124 0.784
S13 S 0.557 0.250 0.943
S14 S 0.624 0.014 0.284
S15 S 0.636 0.636 0.636
S16 S 0.716 0.376 0.986
S17 S 0.750 0.057 0.443
S18 S 0.784 0.514 0.124
S19 S 0.864 0.864 0.864
S20 S 0.876 0.216 0.486
S21 S 0.943 0.557 0.250
S22 S 0.986 0.716 0.376
```

Values from the calculation:
Space group: R-3c, No. 167
M_tot, μB per formula unit: 0.00
ΔE_f (raw), eV/atom: -0.881
D(E_F), states/eV/f.u.: 6.94

=====

Entry 4:
The following is a DFT calculation (meta-GGA SCAN) of a PBEsol-optimized structure of K2Mo15S19.

The structure in CIF format:
```
data_K2Mo15S19
_chemical_formula_sum 'K4 Mo30 S38'
_space_group_name_H-M_alt 'P 1'
_space_group_IT_number 1
_space_group_name_Hall 'P 1'
_cell_length_a 19.438
_cell_length_b 19.438
_cell_length_c 19.438
_cell_angle_alpha 27.60
_cell_angle_beta 27.60
_cell_angle_gamma 27.60
loop_
_atom_site_label
_atom_site_type_symbol
_atom_site_fract_x
_atom_site_fract_y
_atom_site_fract_z
K1 K 0.112 0.112 0.112
K2 K 0.388 0.388 0.388
K3 K 0.612 0.612 0.612
K4 K 0.888 0.888 0.888
Mo1 Mo 0.002 0.865 0.196
Mo2 Mo 0.038 0.371 0.219
Mo3 Mo 0.084 0.250 0.416
Mo4 Mo 0.129 0.462 0.281
Mo5 Mo 0.135 0.804 0.998
Mo6 Mo 0.196 0.002 0.865
Mo7 Mo 0.219 0.038 0.371
Mo8 Mo 0.250 0.416 0.084
Mo9 Mo 0.281 0.129 0.462
Mo10 Mo 0.304 0.635 0.498
Mo11 Mo 0.365 0.502 0.696
Mo12 Mo 0.371 0.219 0.038
Mo13 Mo 0.416 0.084 0.250
Mo14 Mo 0.462 0.281 0.129
Mo15 Mo 0.498 0.304 0.635
Mo16 Mo 0.502 0.696 0.365
Mo17 Mo 0.538 0.719 0.871
Mo18 Mo 0.584 0.916 0.750
Mo19 Mo 0.629 0.781 0.962
Mo20 Mo 0.635 0.498 0.304
Mo21 Mo 0.696 0.365 0.502
Mo22 Mo 0.719 0.871 0.538
Mo23 Mo 0.750 0.584 0.916
Mo24 Mo 0.781 0.962 0.629
Mo25 Mo 0.804 0.998 0.135
Mo26 Mo 0.865 0.196 0.002
Mo27 Mo 0.871 0.538 0.719
Mo28 Mo 0.916 0.750 0.584
Mo29 Mo 0.962 0.629 0.781
Mo30 Mo 0.998 0.135 0.804
S1 S 0.023 0.693 0.426
S2 S 0.051 0.298 0.699
S3 S 0.054 0.054 0.054
S4 S 0.055 0.445 0.750
S5 S 0.074 0.807 0.477
S6 S 0.177 0.177 0.177
S7 S 0.193 0.523 0.926
S8 S 0.199 0.798 0.551
S9 S 0.202 0.449 0.801
S10 S 0.250 0.945 0.555
S11 S 0.298 0.699 0.051
S12 S 0.301 0.949 0.702
S13 S 0.307 0.574 0.977
S14 S 0.323 0.323 0.323
S15 S 0.426 0.023 0.693
S16 S 0.445 0.750 0.055
S17 S 0.446 0.446 0.446
S18 S 0.449 0.801 0.202
S19 S 0.477 0.074 0.807
S20 S 0.523 0.926 0.193
S21 S 0.551 0.199 0.798
S22 S 0.554 0.554 0.554
S23 S 0.555 0.250 0.945
S24 S 0.574 0.977 0.307
S25 S 0.677 0.677 0.677
S26 S 0.693 0.426 0.023
S27 S 0.699 0.051 0.298
S28 S 0.702 0.301 0.949
S29 S 0.750 0.055 0.445
S30 S 0.798 0.551 0.199
S31 S 0.801 0.202 0.449
S32 S 0.807 0.477 0.074
S33 S 0.823 0.823 0.823
S34 S 0.926 0.193 0.523
S35 S 0.945 0.555 0.250
S36 S 0.946 0.946 0.946
S37 S 0.949 0.702 0.301
S38 S 0.977 0.307 0.574
```

Values from the calculation:
Space group: R-3c, No. 167
M_tot, μB per formula unit: 0.00
ΔE_f (raw), eV/atom: -0.836
D(E_F), states/eV/f.u.: 17.01

=====

Entry 5:
The following is a DFT calculation (meta-GGA SCAN) of a PBEsol-optimized structure of KSb4Mo.

The structure in CIF format:
```
data_KSb4Mo
_chemical_formula_sum 'K1 Sb4 Mo1'
_space_group_name_H-M_alt 'P 1'
_space_group_IT_number 1
_space_group_name_Hall 'P 1'
_cell_length_a 6.213
_cell_length_b 6.213
_cell_length_c 6.213
_cell_angle_alpha 60.00
_cell_angle_beta 60.00
_cell_angle_gamma 60.00
loop_
_atom_site_label
_atom_site_type_symbol
_atom_site_fract_x
_atom_site_fract_y
_atom_site_fract_z
K1 K 0.000 0.000 0.000
Sb1 Sb 0.126 0.625 0.625
Sb2 Sb 0.625 0.126 0.625
Sb3 Sb 0.625 0.625 0.126
Sb4 Sb 0.625 0.625 0.625
Mo1 Mo 0.250 0.250 0.250
```

Values from the calculation:
Space group: F-43m, No. 216
M_tot, μB per formula unit: 4.84
ΔE_f (raw), eV/atom: 0.539
D(E_F), states/eV/f.u.: 1.54

=====

Entry 6:
The following is a DFT calculation (meta-GGA SCAN) of a PBEsol-optimized structure of KSc2Mo.

The structure in CIF format:
```
data_KSc2Mo
_chemical_formula_sum 'K1 Sc2 Mo1'
_space_group_name_H-M_alt 'P 1'
_space_group_IT_number 1
_space_group_name_Hall 'P 1'
_cell_length_a 8.942
_cell_length_b 8.942
_cell_length_c 8.942
_cell_angle_alpha 160.30
_cell_angle_beta 150.04
_cell_angle_gamma 36.11
loop_
_atom_site_label
_atom_site_type_symbol
_atom_site_fract_x
_atom_site_fract_y
_atom_site_fract_z
K1 K 0.000 0.000 0.000
Sc1 Sc 0.318 0.318 0.000
Sc2 Sc 0.694 0.194 0.500
Mo1 Mo 0.189 0.689 0.500
```

Values from the calculation:
Space group: Imm2, No. 44
Formation energy from the elements, meV per atom: 700
M_tot, μB per formula unit: 0.00
D(E_F), states/eV/f.u.: 4.26
Energy relative to the lowest polymorph listed for this composition, meV per atom: 0.0

=====

Entry 7:
The following is a DFT calculation (meta-GGA SCAN) of a PBEsol-optimized structure of K2ScMo.

The structure in CIF format:
```
data_K2ScMo
_chemical_formula_sum 'K2 Sc1 Mo1'
_space_group_name_H-M_alt 'P 1'
_space_group_IT_number 1
_space_group_name_Hall 'P 1'
_cell_length_a 4.160
_cell_length_b 4.160
_cell_length_c 6.300
_cell_angle_alpha 90.00
_cell_angle_beta 90.00
_cell_angle_gamma 90.00
loop_
_atom_site_label
_atom_site_type_symbol
_atom_site_fract_x
_atom_site_fract_y
_atom_site_fract_z
K1 K 0.000 0.500 0.000
K2 K 0.500 0.000 0.000
Sc1 Sc 0.000 0.000 0.500
Mo1 Mo 0.500 0.500 0.500
```

Values from the calculation:
Space group: P4/mmm, No. 123
Formation energy from the elements, meV per atom: 1266
M_tot, μB per formula unit: 3.41
D(E_F), states/eV/f.u.: 3.53
Energy relative to the lowest polymorph listed for this composition, meV per atom: 377.1

=====

Entry 8:
The following is a DFT calculation (meta-GGA SCAN) of a PBEsol-optimized structure of KSc2Mo.

The structure in CIF format:
```
data_KSc2Mo
_chemical_formula_sum 'K1 Sc2 Mo1'
_space_group_name_H-M_alt 'P 1'
_space_group_IT_number 1
_space_group_name_Hall 'P 1'
_cell_length_a 4.972
_cell_length_b 4.972
_cell_length_c 4.972
_cell_angle_alpha 60.00
_cell_angle_beta 60.00
_cell_angle_gamma 60.00
loop_
_atom_site_label
_atom_site_type_symbol
_atom_site_fract_x
_atom_site_fract_y
_atom_site_fract_z
K1 K 0.000 0.000 0.000
Sc1 Sc 0.250 0.250 0.250
Sc2 Sc 0.750 0.750 0.750
Mo1 Mo 0.500 0.500 0.500
```

Values from the calculation:
Space group: Fm-3m, No. 225
Formation energy from the elements, meV per atom: 939
M_tot, μB per formula unit: 0.80
D(E_F), states/eV/f.u.: 3.20
Energy relative to the lowest polymorph listed for this composition, meV per atom: 238.5

=====

Entry 9:
The following is a DFT calculation (meta-GGA SCAN) of a PBEsol-optimized structure of K2ScMo.

The structure in CIF format:
```
data_K2ScMo
_chemical_formula_sum 'K2 Sc1 Mo1'
_space_group_name_H-M_alt 'P 1'
_space_group_IT_number 1
_space_group_name_Hall 'P 1'
_cell_length_a 12.551
_cell_length_b 12.551
_cell_length_c 12.551
_cell_angle_alpha 15.23
_cell_angle_beta 15.23
_cell_angle_gamma 15.23
loop_
_atom_site_label
_atom_site_type_symbol
_atom_site_fract_x
_atom_site_fract_y
_atom_site_fract_z
K1 K 0.000 0.000 0.000
K2 K 0.223 0.223 0.223
Sc1 Sc 0.762 0.762 0.762
Mo1 Mo 0.480 0.480 0.480
```

Values from the calculation:
Space group: R3m, No. 160
Formation energy from the elements, meV per atom: 888
M_tot, μB per formula unit: 2.06
D(E_F), states/eV/f.u.: 3.17
Energy relative to the lowest polymorph listed for this composition, meV per atom: 0.0

=====

Entry 10:
The following is a DFT calculation (meta-GGA SCAN) of a PBEsol-optimized structure of K2ScMo.

The structure in CIF format:
```
data_K2ScMo
_chemical_formula_sum 'K2 Sc1 Mo1'
_space_group_name_H-M_alt 'P 1'
_space_group_IT_number 1
_space_group_name_Hall 'P 1'
_cell_length_a 4.873
_cell_length_b 4.873
_cell_length_c 10.061
_cell_angle_alpha 92.03
_cell_angle_beta 92.03
_cell_angle_gamma 35.39
loop_
_atom_site_label
_atom_site_type_symbol
_atom_site_fract_x
_atom_site_fract_y
_atom_site_fract_z
K1 K 0.000 0.000 0.000
K2 K 0.239 0.239 0.601
Sc1 Sc 0.761 0.761 0.273
Mo1 Mo 0.494 0.494 0.332
```

Values from the calculation:
Space group: Cm, No. 8
Formation energy from the elements, meV per atom: 924
M_tot, μB per formula unit: 1.03
D(E_F), states/eV/f.u.: 2.82
Energy relative to the lowest polymorph listed for this composition, meV per atom: 35.4